VPd6Au8 after structural relaxation. Source: Alexandria via LeMat-Bulk, functional PBE-GGA.

The structure belongs to space group P-3 (No. 147); the cell edges are 7.5899, 7.5899 and 5.5817 Å and the angles 90.00°, 90.00° and 120.00°. The distinct sites, in fractional coordinates, are V at (0.0000, 0.0000, 0.0000), Pd at (0.0270, 0.3338, 0.1319), Au at (0.0211, 0.3421, 0.6258) and Au at (0.3333, 0.6667, 0.8985).

As for the energy relative to the elements: 0.044 eV/atom. The total moment comes out at 0.093 μB per atom.



V2PdAu2 after structural relaxation. Source: Alexandria via LeMat-Bulk, functional PBE-GGA.

The structure belongs to space group P4/mbm (No. 127); the cell edges are 7.583, 7.583 and 2.839 Å and the angles 90.00°, 90.00° and 90.00°. The distinct sites, in fractional coordinates, are V at (0.109, 0.391, 0.000), Pd at (0.000, 0.000, 0.000) and Au at (0.182, 0.682, 0.500).

As for the energy relative to the elements: 0.170 eV/atom. Its energy above the lowest structure with this stoichiometry is 0.000 eV/atom. The total moment comes out at 0.000 μB per atom.



VPd2Au6 after structural relaxation. Source: Alexandria via LeMat-Bulk, functional PBE-GGA.

The structure belongs to space group P4_2/mnm (No. 136); the cell edges are 5.597, 5.597 and 13.328 Å and the angles 90.00°, 90.00° and 90.00°. The distinct sites, in fractional coordinates, are V at (0.000, 0.000, 0.000), Pd at (0.000, 0.000, 0.335), Au at (0.173, 0.173, 0.163) and Au at (0.185, 0.185, 0.500).

As for the energy relative to the elements: 0.567 eV/atom. Its energy above the lowest structure with this stoichiometry is 0.634 eV/atom. The total moment comes out at 0.244 μB per atom.



VPd6Au5 after structural relaxation. Source: Alexandria via LeMat-Bulk, functional PBE-GGA.

The structure belongs to space group Cmmm (No. 65); the cell edges are 4.062, 12.187 and 7.879 Å and the angles 90.00°, 90.00° and 90.00°. The distinct sites, in fractional coordinates, are V at (0.000, 0.000, 0.000), Pd at (0.000, 0.162, 0.243), Pd at (0.000, 0.500, 0.236), Au at (0.000, 0.000, 0.500), Au at (0.000, 0.334, 0.500) and Au at (0.000, 0.336, 0.000).

As for the energy relative to the elements: -0.131 eV/atom. The total moment comes out at 0.086 μB per atom.



VPd2Au after structural relaxation. Source: Alexandria via LeMat-Bulk, functional PBE-GGA.

The structure belongs to space group P2/m (No. 10); the cell edges are 2.915, 3.741 and 5.740 Å and the angles 90.00°, 90.12° and 90.00°. The distinct sites, in fractional coordinates, are V at (0.000, 0.000, 0.000), Pd at (0.499, 0.500, 0.234) and Au at (0.000, 0.000, 0.500).

As for the energy relative to the elements: -0.172 eV/atom. Its energy above the lowest structure with this stoichiometry is 0.024 eV/atom. The total moment comes out at 0.423 μB per atom.



VPd2Au after structural relaxation. Source: Alexandria via LeMat-Bulk, functional PBE-GGA.

The structure belongs to space group Cmcm (No. 63); the cell edges are 5.624, 9.624 and 4.602 Å and the angles 90.00°, 90.00° and 90.00°. The distinct sites, in fractional coordinates, are V at (0.000, 0.161, 0.250), Pd at (0.245, 0.085, 0.750) and Au at (0.000, 0.334, 0.750).

As for the energy relative to the elements: -0.158 eV/atom. Its energy above the lowest structure with this stoichiometry is 0.038 eV/atom. The total moment comes out at 0.425 μB per atom.



Which of these has the lowest total moment?
V2PdAu2